(1)
Density functional theory data (PBE-GGA) for a geometry-optimized BeRe2Se structure.

The structure belongs to space group Cm (No. 8); the cell edges are 8.442, 3.042 and 4.467 Å and the angles 90.00°, 107.12° and 90.00°. The asymmetric unit holds Be at (0.000, 0.000, 0.000), Re at (0.233, 0.500, 0.111), Re at (0.496, 0.000, 0.456) and Se at (0.252, 0.000, 0.683).

For the uncorrected formation energy, the calculation gives 0.298 eV/atom. The calculation puts the magnetic moment at 0.000 μB per formula unit. The calculated volume is 109.65 Å³/cell. For the energy above the most stable polymorph in this dataset, the calculation gives 173 meV/atom. The value obtained for the electronic total energy is -7.7290 eV per atom.

=====

(2)
Density functional theory data (PBE-GGA) for a geometry-optimized CrSnSe2 structure.

The structure belongs to space group C2/c (No. 15); the cell edges are 6.622, 12.953 and 6.442 Å and the angles 90.00°, 119.97° and 90.00°. The asymmetric unit holds Cr at (0.000, 0.002, 0.250), Sn at (0.000, 0.495, 0.750) and Se at (0.135, 0.132, 0.572).

For the uncorrected formation energy, the calculation gives -0.240 eV/atom. The calculation puts the magnetic moment at 3.249 μB per formula unit. The calculated volume is 478.68 Å³/cell. The value obtained for the electronic total energy is -5.3885 eV per atom.

=====

(3)
Density functional theory data (PBE-GGA) for a geometry-optimized ScZnTeO6 structure.

The structure belongs to space group P-31c (No. 163); the cell edges are 5.3487, 5.3487 and 8.7562 Å and the angles 90.00°, 90.00° and 120.00°. The asymmetric unit holds Sc at (0.3333, 0.6667, 0.2500), Zn at (0.0000, 0.0000, 0.0000), Te at (0.3333, 0.6667, 0.7500) and O at (0.0242, 0.3592, 0.6300).

For the uncorrected formation energy, the calculation gives -1.565 eV/atom. The calculation puts the magnetic moment at 1.038 μB per formula unit. The calculated volume is 216.94 Å³/cell. The value obtained for the electronic total energy is -6.0650 eV per atom.

=====

(4)
Density functional theory data (PBE-GGA) for a geometry-optimized SrCaY structure.

The structure belongs to space group I4mm (No. 107); the cell edges are 3.871, 3.871 and 16.641 Å and the angles 90.00°, 90.00° and 90.00°. The asymmetric unit holds Sr at (0.000, 0.000, 0.000), Ca at (0.000, 0.000, 0.315) and Y at (0.000, 0.000, 0.666).

The calculation puts the magnetic moment at 0.986 μB per formula unit. The value obtained for the formation energy is 148 meV/atom. The calculated volume is 249.34 Å³/cell. For the energy above the most stable polymorph in this dataset, the calculation gives 0 meV/atom. The value obtained for the electronic total energy is -3.2341 eV per atom.

=====

(5)
Density functional theory data (PBE-GGA) for a geometry-optimized AcSm14Dy structure.

The structure belongs to space group Amm2 (No. 38); the cell edges are 11.751, 7.372 and 12.787 Å and the angles 90.00°, 90.00° and 90.00°. The asymmetric unit holds Ac at (0.000, 0.000, 0.000), Sm at (0.000, 0.248, 0.751), Sm at (0.249, 0.000, 0.334), Sm at (0.252, 0.249, 0.585), Sm at (0.254, 0.000, 0.833), Sm at (0.500, 0.000, 0.001), Sm at (0.500, 0.000, 0.500), Sm at (0.500, 0.250, 0.251) and Dy at (0.000, 0.000, 0.502).

The calculation puts the magnetic moment at 0.001 μB per formula unit. The value obtained for the formation energy is 36 meV/atom. The calculated volume is 1107.72 Å³/cell. The value obtained for the electronic total energy is -4.6377 eV per atom.

=====

(6)
Density functional theory data (PBE-GGA) for a geometry-optimized Sm2AuC2 structure.

The structure belongs to space group C2/c (No. 15); the cell edges are 14.199, 4.134 and 6.920 Å and the angles 90.00°, 103.42° and 90.00°. The asymmetric unit holds Sm at (0.146, 0.168, 0.134), Au at (0.000, 0.350, 0.750) and C at (0.226, 0.372, 0.529).

The calculation puts the magnetic moment at 0.000 μB per formula unit. The value obtained for the formation energy is -412 meV/atom. The calculated volume is 395.05 Å³/cell. The value obtained for the electronic total energy is -6.6446 eV per atom.

=====

(7)
Density functional theory data (PBE-GGA) for a geometry-optimized Cs2Hg4PbAu3 structure.

The structure belongs to space group P-4m2 (No. 115); the cell edges are 5.012, 5.012 and 12.388 Å and the angles 90.00°, 90.00° and 90.00°. The asymmetric unit holds Cs at (0.000, 0.500, 0.238), Hg at (0.000, 0.000, 0.000), Hg at (0.000, 0.500, 0.639), Hg at (0.500, 0.500, 0.000), Pb at (0.000, 0.000, 0.500), Au at (0.000, 0.500, 0.869) and Au at (0.500, 0.500, 0.500).

The calculation puts the magnetic moment at 0.000 μB per formula unit. The value obtained for the formation energy is -165 meV/atom. The calculated volume is 311.19 Å³/cell. The value obtained for the electronic total energy is -1.8107 eV per atom.

=====

(8)
Density functional theory data (PBE-GGA) for a geometry-optimized Ag2MoRh structure.

The structure belongs to space group Imm2 (No. 44); the cell edges are 2.868, 4.886 and 9.483 Å and the angles 90.00°, 90.00° and 90.00°. The asymmetric unit holds Ag at (0.000, 0.000, 0.000), Ag at (0.000, 0.500, 0.239), Mo at (0.000, 0.500, 0.766) and Rh at (0.000, 0.000, 0.484).

The calculation puts the magnetic moment at 0.000 μB per formula unit. The value obtained for the formation energy is 428 meV/atom. The calculated volume is 132.86 Å³/cell. For the energy above the most stable polymorph in this dataset, the calculation gives 311 meV/atom. The value obtained for the electronic total energy is -5.5428 eV per atom.

=====

Number 1: Fermi-level density of states 2.81 states/eV/cell. Number 2: Fermi-level density of states 5.44 states/eV/cell. Number 3: Fermi-level density of states 6.08 states/eV/cell. Number 4: Fermi-level density of states 9.04 states/eV/cell. Number 5: Fermi-level density of states 59.49 states/eV/cell. Number 6: Fermi-level density of states 8.91 states/eV/cell. Number 7: Fermi-level density of states 3.38 states/eV/cell. Number 8: Fermi-level density of states 5.78 states/eV/cell.